1.
First-principles (SCAN) data for a crystal of TlPdIO2 relaxed with PBEsol, as listed in Alexandria via LeMat-Bulk.

abc: 4.1969 4.1969 5.3399
angles: 90.00 90.00 90.00
With the nearest neighbours (Å) after each atom.
Atoms (fractional coordinates):
Tl 0.0000 0.0000 0.0000  4 I 2.97
Pd 0.5000 0.5000 0.5000  4 O 2.10
I 0.5000 0.5000 0.0000  2 Pd 2.67, 4 Tl 2.97
O 0.0000 0.5000 0.5000  2 Pd 2.10
O 0.5000 0.0000 0.5000  2 Pd 2.10

Values from the calculation:
As for the mass density: 8292 kg/m³. The relative energy among the computed polymorphs is 0.0 kJ/mol of formula units. For the energy, the calculation gives -30.756 eV per atom.

2.
First-principles (SCAN) data for a crystal of YPdIO2 relaxed with PBEsol, as listed in Alexandria via LeMat-Bulk.

abc: 4.1367 4.1367 6.5082
angles: 90.00 90.00 90.00
With the nearest neighbours (Å) after each atom.
Atoms (fractional coordinates):
Y 0.0000 0.0000 0.0000  4 O 2.07
Pd 0.5000 0.5000 0.5000  4 I 2.93
I 0.0000 0.0000 0.5000  4 Pd 2.93, 2 Y 3.25
O 0.0000 0.5000 0.0000  2 Y 2.07
O 0.5000 0.0000 0.0000  2 Y 2.07

Values from the calculation:
As for the mass density: 5281 kg/m³. For the energy, the calculation gives -23.111 eV per atom.

3.
First-principles (SCAN) data for a crystal of PrI3O9 relaxed with PBEsol, as listed in Alexandria via LeMat-Bulk.

abc: 8.8089 5.8230 16.5905
angles: 90.00 114.68 90.00
With the nearest neighbours (Å) after each atom.
Atoms (fractional coordinates):
Pr 0.1372 0.2364 0.0982  9 O 2.41-2.67
Pr 0.1372 0.2636 0.5982  9 O 2.41-2.67
Pr 0.8628 0.7364 0.4018  9 O 2.41-2.67
Pr 0.8628 0.7636 0.9018  9 O 2.41-2.67
I 0.0711 0.1875 0.3473  3 O 1.84-1.85
I 0.0711 0.3125 0.8473  3 O 1.84-1.85
I 0.3633 0.6427 0.5234  3 O 1.84-1.88
I 0.3633 0.8573 0.0234  3 O 1.84-1.88
I 0.4147 0.5935 0.7990  3 O 1.83-1.85
I 0.4147 0.9065 0.2990  3 O 1.83-1.85
I 0.5853 0.0935 0.7010  3 O 1.83-1.85
I 0.5853 0.4065 0.2010  3 O 1.83-1.85
I 0.6367 0.1427 0.9766  3 O 1.84-1.88
I 0.6367 0.3573 0.4766  3 O 1.84-1.88
I 0.9289 0.6875 0.1527  3 O 1.84-1.85
I 0.9289 0.8125 0.6527  3 O 1.84-1.85
O 0.0602 0.0589 0.7103  1 I 1.84
O 0.0602 0.4411 0.2103  1 I 1.84
O 0.0881 0.0754 0.4548  1 I 1.85
O 0.0881 0.4246 0.9548  1 I 1.85
O 0.1050 0.6147 0.6727  1 I 1.85
O 0.1050 0.8853 0.1727  1 I 1.85
O 0.1361 0.5827 0.4896  1 I 1.87
O 0.1361 0.9173 0.9896  1 I 1.87
O 0.3258 0.5920 0.8814  1 I 1.84
O 0.3258 0.9080 0.3814  1 I 1.84
O 0.3434 0.1935 0.2548  1 I 1.83
O 0.3434 0.3065 0.7548  1 I 1.83
O 0.3643 0.0972 0.9476  1 I 1.88
O 0.3643 0.4028 0.4476  1 I 1.88
O 0.3715 0.5078 0.1299  1 I 1.85
O 0.3715 0.9922 0.6299  1 I 1.85
O 0.4083 0.0317 0.1231  1 I 1.84
O 0.4083 0.4683 0.6231  1 I 1.84
O 0.5917 0.5317 0.3769  1 I 1.84
O 0.5917 0.9683 0.8769  1 I 1.84
O 0.6285 0.0078 0.3701  1 I 1.85
O 0.6285 0.4922 0.8701  1 I 1.85
O 0.6357 0.5972 0.5524  1 I 1.88
O 0.6357 0.9028 0.0524  1 I 1.88
O 0.6566 0.6935 0.2452  1 I 1.83
O 0.6566 0.8065 0.7452  1 I 1.83
O 0.6742 0.0920 0.6186  1 I 1.84
O 0.6742 0.4080 0.1186  1 I 1.84
O 0.8639 0.0827 0.0104  1 I 1.87
O 0.8639 0.4173 0.5104  1 I 1.87
O 0.8950 0.1147 0.8273  1 I 1.85
O 0.8950 0.3853 0.3273  1 I 1.85
O 0.9119 0.5754 0.0452  1 I 1.85
O 0.9119 0.9246 0.5452  1 I 1.85
O 0.9398 0.5589 0.7897  1 I 1.84
O 0.9398 0.9411 0.2897  1 I 1.84

Values from the calculation:
As for the mass density: 5718 kg/m³. For the energy, the calculation gives -17.237 eV per atom.

4.
First-principles (SCAN) data for a crystal of PrIO relaxed with PBEsol, as listed in Alexandria via LeMat-Bulk.

abc: 4.0698 4.0698 9.2693
angles: 90.00 90.00 90.00
With the nearest neighbours (Å) after each atom.
Atoms (fractional coordinates):
Pr 0.2500 0.2500 0.1267  4 O 2.35
Pr 0.7500 0.7500 0.8733  4 O 2.35
I 0.2500 0.2500 0.6718  4 Pr 3.43, 4 O 3.66
I 0.7500 0.7500 0.3282  4 Pr 3.43, 4 O 3.66
O 0.2500 0.7500 0.0000  4 Pr 2.35
O 0.7500 0.2500 0.0000  4 Pr 2.35

Values from the calculation:
As for the mass density: 6139 kg/m³. For the energy, the calculation gives -31.704 eV per atom.

5.
First-principles (SCAN) data for a crystal of RbPtI2O relaxed with PBEsol, as listed in Alexandria via LeMat-Bulk.

abc: 5.8538 5.8538 3.8397
angles: 90.00 90.00 90.00
With the nearest neighbours (Å) after each atom.
Atoms (fractional coordinates):
Rb 0.0000 0.0000 0.0000  8 I 3.50, 2 Rb 3.84
Pt 0.5000 0.5000 0.5000  2 O 1.92
I 0.0000 0.5000 0.5000  2 Pt 2.93
I 0.5000 0.0000 0.5000  2 Pt 2.93
O 0.5000 0.5000 0.0000  2 Pt 1.92

Values from the calculation:
As for the mass density: 6946 kg/m³. For the energy, the calculation gives -34.746 eV per atom.

6.
First-principles (SCAN) data for a crystal of RbPtIO2 relaxed with PBEsol, as listed in Alexandria via LeMat-Bulk.

abc: 4.0812 4.0812 7.2925
angles: 90.00 90.00 90.00
With the nearest neighbours (Å) after each atom.
Atoms (fractional coordinates):
Rb 0.0000 0.0000 0.0000  4 O 2.04
Pt 0.5000 0.5000 0.5000  4 I 2.89
I 0.0000 0.0000 0.5000  4 Pt 2.89
O 0.0000 0.5000 0.0000  2 Rb 2.04
O 0.5000 0.0000 0.0000  2 Rb 2.04

Values from the calculation:
As for the mass density: 6008 kg/m³. For the energy, the calculation gives -26.859 eV per atom.

7.
First-principles (SCAN) data for a crystal of RuPtI2O relaxed with PBEsol, as listed in Alexandria via LeMat-Bulk.

abc: 5.5101 5.5101 3.7104
angles: 90.00 90.00 90.00
With the nearest neighbours (Å) after each atom.
Atoms (fractional coordinates):
Ru 0.0000 0.0000 0.0000  8 I 3.32, 2 Ru 3.71
Pt 0.5000 0.5000 0.5000  2 O 1.86
I 0.0000 0.5000 0.5000  2 Pt 2.76
I 0.5000 0.0000 0.5000  2 Pt 2.76
O 0.5000 0.5000 0.0000  2 Pt 1.86

Values from the calculation:
As for the mass density: 8343 kg/m³. For the energy, the calculation gives -36.353 eV per atom.

8.
First-principles (SCAN) data for a crystal of ScPtIO2 relaxed with PBEsol, as listed in Alexandria via LeMat-Bulk.

abc: 4.0901 4.0901 5.1422
angles: 90.00 90.00 90.00
With the nearest neighbours (Å) after each atom.
Atoms (fractional coordinates):
Sc 0.0000 0.0000 0.0000  4 I 2.89
Pt 0.5000 0.5000 0.5000  4 O 2.05
I 0.5000 0.5000 0.0000  2 Pt 2.57
O 0.0000 0.5000 0.5000  2 Pt 2.05
O 0.5000 0.0000 0.5000  2 Pt 2.05

Values from the calculation:
As for the mass density: 7701 kg/m³. For the energy, the calculation gives -26.992 eV per atom.

no.,calculated volume (Å³/f.u.),spin magnetization (μB/atom)
1,94.1,0.246
2,111.4,0.262
3,193.3,0.000
4,76.8,0.000
5,131.6,0.000
6,121.5,0.098
7,112.7,0.609
8,86.0,0.000